Record 1
PBE-GGA Ca4MgPa3N8, relaxed; N(E_F) = 0.3907 states/eV/atom; space group = No. 166; spin magnetization = 0.00 μB/cell; formation energy (no corrections) = -1368.7 meV per atom; calculated total energy = -7.91 eV/atom
1.0
7.006 0.000 0.000
0.000 6.980 -0.023
-3.503 -3.500 4.956
Pa N Ca Mg
3 8 4 1
Direct
0.000 0.500 0.500 Pa
0.500 0.500 0.500 Pa
0.500 0.500 0.000 Pa
0.754 0.284 0.507 N
0.739 0.718 0.479 N
0.277 0.284 0.031 N
0.723 0.716 0.969 N
0.246 0.716 0.969 N
0.246 0.716 0.493 N
0.754 0.284 0.031 N
0.261 0.282 0.521 N
0.000 0.000 0.000 Ca
0.500 0.000 0.000 Ca
0.500 0.000 0.500 Ca
0.000 0.000 0.500 Ca
0.000 0.500 0.000 Mg


Record 2
PBE-GGA Tb4Cl3O4, relaxed; N(E_F) = 0.0968 states/eV/atom; space group = No. 71; spin magnetization = 0.00 μB/cell; formation energy (no corrections) = -2688.0 meV per atom; calculated total energy = -6.68 eV/atom
1.0
-0.846 -1.760 2.955
1.851 -6.642 -3.425
5.711 4.824 2.384
O Tb Cl
4 4 3
Direct
0.660 0.838 0.320 O
0.340 0.162 0.680 O
0.340 0.518 0.680 O
0.660 0.482 0.320 O
0.787 0.287 0.574 Tb
0.500 0.233 0.000 Tb
0.213 0.713 0.426 Tb
0.500 0.767 0.000 Tb
0.890 0.890 0.780 Cl
0.110 0.110 0.220 Cl
0.000 0.500 0.000 Cl


Record 3
PBE-GGA KNaHg2Pb, relaxed; N(E_F) = 0.9134 states/eV/atom; space group = No. 123; spin magnetization = 0.00 μB/cell; calculated formation energy = -0.47 kcal/mol of atoms; calculated total energy = -1.37 eV/atom
1.0
6.026 0.000 0.000
0.000 6.026 0.000
0.000 0.000 5.892
K Na Hg Pb
1 1 2 1
Direct
0.500 0.500 0.500 K
0.000 0.000 0.500 Na
0.000 0.500 0.000 Hg
0.500 0.000 0.000 Hg
0.000 0.000 0.000 Pb


Record 4
PBE-GGA Sm2Y6Ho3, relaxed; N(E_F) = 1.7395 states/eV/atom; space group = No. 58; spin magnetization = 0.00 μB/cell; calculated formation energy = 5.09 kcal/mol of atoms; energy above the most stable polymorph in this dataset = 0 meV per atom; calculated total energy = -5.41 eV/atom
1.0
-2.722 -5.587 -8.717
3.718 -4.455 1.695
-8.476 -4.878 5.773
Ho Y Sm
6 12 4
Direct
0.500 0.000 0.294 Ho
0.000 0.500 0.794 Ho
0.000 0.000 0.000 Ho
0.000 0.500 0.206 Ho
0.500 0.500 0.500 Ho
0.500 0.000 0.706 Ho
0.322 0.477 0.273 Y
0.775 0.633 0.000 Y
0.178 0.977 0.227 Y
0.678 0.523 0.727 Y
0.225 0.367 0.000 Y
0.725 0.133 0.500 Y
0.275 0.867 0.500 Y
0.678 0.523 0.273 Y
0.178 0.977 0.773 Y
0.822 0.023 0.227 Y
0.822 0.023 0.773 Y
0.322 0.477 0.727 Y
0.932 0.735 0.500 Sm
0.068 0.265 0.500 Sm
0.432 0.765 0.000 Sm
0.568 0.235 0.000 Sm


Record 5
PBE-GGA Tb6Sm4Pu, relaxed; N(E_F) = 2.0619 states/eV/atom; space group = No. 167; spin magnetization = 12.12 μB/cell; calculated formation energy = 8.04 kcal/mol of atoms; calculated total energy = -5.20 eV/atom
1.0
-8.513 -0.546 -3.011
-1.687 -8.156 3.533
-1.989 4.660 7.494
Tb Sm Pu
12 8 2
Direct
0.663 0.069 0.053 Tb
0.447 0.569 0.837 Tb
0.947 0.663 0.931 Tb
0.163 0.447 0.431 Tb
0.431 0.837 0.447 Tb
0.337 0.931 0.947 Tb
0.569 0.163 0.553 Tb
0.069 0.947 0.337 Tb
0.837 0.553 0.569 Tb
0.053 0.337 0.069 Tb
0.931 0.053 0.663 Tb
0.553 0.431 0.163 Tb
0.343 0.157 0.250 Sm
0.250 0.250 0.750 Sm
0.657 0.843 0.750 Sm
0.750 0.750 0.250 Sm
0.250 0.657 0.157 Sm
0.750 0.343 0.843 Sm
0.843 0.250 0.343 Sm
0.157 0.750 0.657 Sm
0.000 0.000 0.000 Pu
0.500 0.500 0.500 Pu


Record 6
PBE-GGA AcErTm4, relaxed; N(E_F) = 1.4864 states/eV/atom; space group = No. 2; spin magnetization = 0.00 μB/cell; calculated formation energy = 4.20 kcal/mol of atoms; calculated total energy = -4.24 eV/atom
1.0
6.095 -0.380 -1.694
-0.346 7.898 -3.039
-1.389 -1.036 9.280
Tm Ac Er
8 2 2
Direct
0.665 0.310 0.227 Tm
0.666 0.918 0.228 Tm
0.000 0.811 0.000 Tm
0.912 0.323 0.645 Tm
0.335 0.690 0.773 Tm
0.088 0.677 0.355 Tm
0.334 0.082 0.772 Tm
0.000 0.189 0.000 Tm
0.288 0.215 0.429 Ac
0.712 0.785 0.571 Ac
0.698 0.471 0.942 Er
0.302 0.529 0.058 Er


Record 7
PBE-GGA NbNiSe2, relaxed; N(E_F) = 0.4669 states/eV/atom; space group = No. 62; spin magnetization = 0.00 μB/cell; energy above the most stable polymorph in this dataset = 75 meV per atom; formation energy (no corrections) = -577.7 meV per atom; calculated total energy = -6.28 eV/atom
1.0
3.556 0.000 0.000
0.000 5.928 0.000
0.000 0.000 13.759
Se Nb Ni
8 4 4
Direct
0.750 0.722 0.303 Se
0.250 0.778 0.803 Se
0.250 0.159 0.430 Se
0.750 0.341 0.930 Se
0.750 0.222 0.197 Se
0.250 0.278 0.697 Se
0.250 0.659 0.070 Se
0.750 0.841 0.570 Se
0.750 0.319 0.561 Nb
0.750 0.819 0.939 Nb
0.250 0.681 0.439 Nb
0.250 0.181 0.061 Nb
0.250 0.142 0.860 Ni
0.250 0.642 0.640 Ni
0.750 0.858 0.140 Ni
0.750 0.358 0.360 Ni


Record 8
PBE-GGA PaCoRu2, relaxed; N(E_F) = 1.3885 states/eV/atom; space group = No. 123; spin magnetization = 0.01 μB/cell; calculated formation energy = -8.00 kcal/mol of atoms; calculated total energy = -9.14 eV/atom
1.0
3.933 0.000 0.000
0.000 3.994 0.000
0.000 0.000 3.994
Ru Co Pa
2 1 1
Direct
0.000 0.000 0.500 Ru
0.000 0.500 0.000 Ru
0.500 0.000 0.000 Co
0.500 0.500 0.500 Pa


Record 9
PBE-GGA CeNdAgOs, relaxed; N(E_F) = 1.8643 states/eV/atom; space group = No. 216; spin magnetization = 0.65 μB/cell; calculated formation energy = -1.60 kcal/mol of atoms; calculated total energy = -6.27 eV/atom
1.0
5.082 0.000 0.000
2.541 4.401 0.000
2.541 1.467 4.149
Ag Nd Os Ce
1 1 1 1
Direct
0.250 0.250 0.250 Ag
0.000 0.000 0.000 Nd
0.750 0.750 0.750 Os
0.500 0.500 0.500 Ce


Record 10
PBE-GGA GdScPa, relaxed; N(E_F) = 1.3845 states/eV/atom; space group = No. 156; spin magnetization = 7.14 μB/cell; calculated formation energy = 2.35 kcal/mol of atoms; energy above the most stable polymorph in this dataset = 0 meV per atom; calculated total energy = -9.87 eV/atom
1.0
-2.061 -1.943 1.778
3.257 -0.736 -0.174
1.402 4.624 6.676
Gd Sc Pa
1 1 1
Direct
0.333 0.667 0.673 Gd
0.667 0.333 0.320 Sc
0.000 0.000 0.007 Pa


Record 11
PBE-GGA ScPaAg2O8, relaxed; N(E_F) = 0.3646 states/eV/atom; space group = No. 119; spin magnetization = 0.00 μB/cell; formation energy (no corrections) = -1421.4 meV per atom; calculated total energy = -6.52 eV/atom
1.0
-3.790 2.271 4.198
-3.003 -2.960 -4.400
3.753 -3.943 2.742
Ag O Sc Pa
2 8 1 1
Direct
0.500 0.500 0.000 Ag
0.750 0.250 0.500 Ag
0.993 0.311 0.319 O
0.922 0.734 0.188 O
0.545 0.734 0.812 O
0.326 0.007 0.319 O
0.266 0.455 0.188 O
0.993 0.674 0.681 O
0.689 0.007 0.681 O
0.266 0.078 0.812 O
0.250 0.750 0.500 Sc
0.000 0.000 0.000 Pa


Record 12
PBE-GGA KLaMg3, relaxed; N(E_F) = 1.4507 states/eV/atom; space group = No. 221; spin magnetization = 0.04 μB/cell; calculated formation energy = 16.24 kcal/mol of atoms; energy above the most stable polymorph in this dataset = 0 meV per atom; calculated total energy = -1.46 eV/atom
1.0
6.308 0.000 0.000
0.000 6.308 0.000
0.000 0.000 6.308
Mg K La
3 1 1
Direct
0.500 0.000 0.000 Mg
0.000 0.500 0.000 Mg
0.000 0.000 0.500 Mg
0.500 0.500 0.500 K
0.000 0.000 0.000 La


Record 13
PBE-GGA CePuTh14, relaxed; N(E_F) = 1.9220 states/eV/atom; space group = No. 123; spin magnetization = 5.11 μB/cell; calculated formation energy = 0.84 kcal/mol of atoms; calculated total energy = -7.72 eV/atom
1.0
6.995 0.939 0.000
-0.939 6.995 0.000
0.000 0.000 10.090
Th Ce Pu
14 1 1
Direct
0.875 0.625 0.500 Th
0.375 0.125 0.500 Th
0.125 0.375 0.752 Th
0.625 0.875 0.752 Th
0.875 0.625 0.000 Th
0.625 0.375 0.752 Th
0.375 0.625 0.500 Th
0.125 0.375 0.248 Th
0.625 0.875 0.248 Th
0.125 0.875 0.752 Th
0.875 0.125 0.500 Th
0.125 0.875 0.248 Th
0.375 0.125 0.000 Th
0.625 0.375 0.248 Th
0.375 0.625 0.000 Ce
0.875 0.125 0.000 Pu


Record 14
PBE-GGA Zn3IrCl, relaxed; N(E_F) = 0.4011 states/eV/atom; space group = No. 221; spin magnetization = 0.00 μB/cell; energy above the most stable polymorph in this dataset = 0 meV per atom; formation energy (no corrections) = 155.8 meV per atom; calculated total energy = -2.75 eV/atom
1.0
-2.309 0.729 4.216
-0.437 -4.806 0.591
4.256 -0.098 2.348
Zn Cl Ir
3 1 1
Direct
0.000 0.000 0.500 Zn
0.500 0.000 0.000 Zn
0.000 0.500 0.000 Zn
0.500 0.500 0.500 Cl
0.000 0.000 0.000 Ir